[1]
TbTmMnZn: relaxed, PBE.

Cell lengths 7.0462, 7.0462, 7.0462 Å; angles 90.00, 90.00, 90.00 degrees
Space group F-43m (No. 216)
Inequivalent atoms, fractional coordinates:
Tb 0.0000 0.0000 0.0000 (multiplicity 4)
Tm 0.0000 0.0000 0.5000 (multiplicity 4)
Mn 0.2500 0.2500 0.7500 (multiplicity 4)
Zn 0.2500 0.2500 0.2500 (multiplicity 4)

The density of states at the Fermi level comes out at 1.21 states/eV per atom. The value obtained for the formation energy is -51.0 meV per atom.

***

[2]
Sm2GaSn2Rh5: relaxed, PBE.

Cell lengths 10.7326, 10.7326, 3.2798 Å; angles 90.00, 90.00, 90.00 degrees
Space group P4/mbm (No. 127)
Inequivalent atoms, fractional coordinates:
Sm 0.1659 0.3341 0.0000 (multiplicity 4)
Ga 0.0000 0.0000 0.0000 (multiplicity 2)
Sn 0.1376 0.6376 0.0000 (multiplicity 4)
Rh 0.0000 0.5000 0.5000 (multiplicity 2)
Rh 0.0361 0.8073 0.5000 (multiplicity 8)

The density of states at the Fermi level comes out at 0.43 states/eV per atom. The value obtained for the formation energy is -550.6 meV per atom.

***

[3]
La7Pm2Sc2: relaxed, PBE.

Cell lengths 11.2018, 11.6575, 6.1890 Å; angles 90.00, 111.30, 90.00 degrees
Space group C2/m (No. 12)
Inequivalent atoms, fractional coordinates:
La 0.0000 0.0000 0.0000 (multiplicity 2)
La 0.0768 0.5000 0.7961 (multiplicity 4)
La 0.1839 0.2391 0.1872 (multiplicity 8)
Pm 0.2150 0.0000 0.5864 (multiplicity 4)
Sc 0.0000 0.2199 0.5000 (multiplicity 4)

The density of states at the Fermi level comes out at 1.61 states/eV per atom. The value obtained for the formation energy is 127.2 meV per atom. As for the excess energy over the best structure of this formula in the dataset: 4.4 meV per atom.